[1]
A plane-wave DFT calculation with PBE was carried out for an optimized crystal structure of Sc2Mn.

Cell lengths 12.8881, 12.8881, 12.8881 Å; angles 166.23, 166.23, 19.52 degrees
Each line ends with the local moment (μB).
Atoms (fractional coordinates):
1 Sc 0.5637 0.5637 0.0000  -0.25
2 Sc 0.4363 0.4363 0.0000  -0.25
3 Sc 0.3137 0.8137 0.5000  -0.25
4 Sc 0.1863 0.6863 0.5000  -0.25
5 Mn 0.7500 0.2500 0.5000  1.78
6 Mn 0.0000 0.0000 0.0000  1.78


[2]
A plane-wave DFT calculation with PBE was carried out for an optimized crystal structure of Dy6TeAs5.

Cell lengths 7.2049, 7.2090, 7.2010 Å; angles 59.96, 80.38, 70.50 degrees
Atoms (fractional coordinates):
1 As 0.5000 0.1620 0.6759
2 As 0.0000 0.3326 0.3348
3 As 0.5000 0.5000 0.0000
4 As 0.0000 0.6674 0.6652
5 As 0.5000 0.8380 0.3241
6 Te 0.0000 0.0000 0.0000
7 Dy 0.7415 0.0864 0.3487
8 Dy 0.2585 0.5648 0.3487
9 Dy 0.2570 0.2629 0.0000
10 Dy 0.7430 0.7371 0.0000
11 Dy 0.7415 0.4352 0.6513
12 Dy 0.2585 0.9136 0.6513


[3]
A plane-wave DFT calculation with PBE was carried out for an optimized crystal structure of KTa2Ru.

Cell lengths 3.1380, 3.1380, 9.2613 Å; angles 90.00, 90.00, 90.00 degrees
Atoms (fractional coordinates):
1 K 0.0000 0.0000 0.5312
2 Ru 0.5000 0.5000 0.8250
3 Ta 0.0000 0.0000 0.9720
4 Ta 0.5000 0.5000 0.1718


no.,raw total energy (eV per cell)
1,-43.11
2,-72.40
3,-32.13